# 1
Material: NaLaHgS3
Method: DFT, PBE
State: optimized geometry

Energy relative to the lowest polymorph listed for this composition (eV per atom): 0.009
Magnetic moment (μB per formula unit): 0.00

a = 7.936 Å, b = 4.375 Å, c = 17.526 Å
α = 90.00°, β = 90.00°, γ = 90.00°
Fractional coordinates of all 24 atoms:
1 Hg 0.225 0.750 0.842
2 Hg 0.775 0.250 0.158
3 Hg 0.725 0.750 0.658
4 Hg 0.275 0.250 0.342
5 Na 0.927 0.250 0.760
6 Na 0.073 0.750 0.240
7 Na 0.573 0.750 0.260
8 Na 0.427 0.250 0.740
9 S 0.385 0.750 0.957
10 S 0.145 0.750 0.710
11 S 0.491 0.250 0.586
12 S 0.615 0.250 0.043
13 S 0.355 0.250 0.210
14 S 0.645 0.750 0.790
15 S 0.009 0.750 0.086
16 S 0.991 0.250 0.914
17 S 0.885 0.750 0.543
18 S 0.855 0.250 0.290
19 S 0.115 0.250 0.457
20 S 0.509 0.750 0.414
21 La 0.731 0.250 0.455
22 La 0.231 0.250 0.045
23 La 0.269 0.750 0.545
24 La 0.769 0.750 0.955

=====

# 2
Material: Te2Au2O5
Method: DFT, PBE
State: optimized geometry

Energy relative to the lowest polymorph listed for this composition (eV per atom): 0.000

a = 7.262 Å, b = 4.186 Å, c = 4.186 Å
α = 90.00°, β = 90.00°, γ = 90.00°
Fractional coordinates of all 9 atoms:
1 Au 0.000 0.000 0.000
2 Au 0.500 0.000 0.000
3 O 0.240 0.500 0.000
4 O 0.760 0.000 0.500
5 O 0.760 0.500 0.000
6 O 0.240 0.000 0.500
7 O 0.500 0.500 0.500
8 Te 0.234 0.500 0.500
9 Te 0.766 0.500 0.500

=====

# 3
Material: Ho2Ge
Method: DFT, PBE
State: optimized geometry

Magnetic moment (μB per formula unit): 0.00
Total DFT energy (no corrections) (eV/atom): -3.584

a = 8.807 Å, b = 8.807 Å, c = 8.807 Å
α = 60.00°, β = 60.00°, γ = 60.00°
Fractional coordinates of all 6 atoms:
1 Ge 0.500 0.500 0.500
2 Ge 0.250 0.250 0.250
3 Ho 0.375 0.875 0.375
4 Ho 0.875 0.375 0.375
5 Ho 0.375 0.375 0.375
6 Ho 0.375 0.375 0.875

=====

# 4
Material: Er5LuBi2Os
Method: DFT, PBE
State: optimized geometry

Magnetic moment (μB per formula unit): 0.05
Total DFT energy (no corrections) (eV/atom): -5.743

a = 4.220 Å, b = 8.203 Å, c = 8.203 Å
α = 119.90°, β = 90.00°, γ = 90.00°
Fractional coordinates of all 9 atoms:
1 Er 0.500 0.614 0.614
2 Er 0.000 0.000 0.767
3 Er 0.500 0.385 0.000
4 Er 0.500 0.000 0.385
5 Er 0.000 0.767 0.000
6 Bi 0.000 0.665 0.333
7 Bi 0.000 0.333 0.665
8 Lu 0.000 0.232 0.232
9 Os 0.500 0.004 0.004

=====

# 5
Material: TbTmNp
Method: DFT, PBE
State: optimized geometry

Magnetic moment (μB per formula unit): 5.15
Energy of formation (eV per atom): 1.157

a = 5.343 Å, b = 5.343 Å, c = 5.343 Å
α = 60.00°, β = 60.00°, γ = 60.00°
Fractional coordinates of all 3 atoms:
1 Tb 0.750 0.750 0.750
2 Tm 0.000 0.000 0.000
3 Np 0.250 0.250 0.250

=====

# 6
Material: ZnSbPt2
Method: DFT, PBE
State: optimized geometry

Magnetic moment (μB per formula unit): 0.00
Total DFT energy (no corrections) (eV/atom): -4.462

a = 4.623 Å, b = 4.623 Å, c = 4.623 Å
α = 60.00°, β = 60.00°, γ = 60.00°
Fractional coordinates of all 4 atoms:
1 Zn 0.250 0.250 0.250
2 Pt 0.750 0.750 0.750
3 Pt 0.000 0.000 0.000
4 Sb 0.500 0.500 0.500